(1)
Compound: MgMn2CuPt
Source: Alexandria
Functional: GGA-PBE
Structure: relaxed

abc: 4.702 4.556 4.702
angles: 90.00 90.00 90.00
Site moments in Bohr magnetons follow the coordinates.
Fractional positions:
1 Mg 0.000 0.000 0.000  -0.03
2 Mn 0.000 0.000 0.500  3.89
3 Mn 0.500 0.000 0.000  3.74
4 Cu 0.500 0.500 0.500  0.02
5 Pt 0.000 0.500 0.000  0.05

Calculated values
Total energy in eV/atom: -4.764
ΔH_f (0 K) in kJ/mol of atoms: 121

***

(2)
Compound: MgMnCuRe2
Source: Alexandria
Functional: GGA-PBE
Structure: relaxed

abc: 4.393 4.642 4.393
angles: 90.00 90.00 90.00
Fractional positions:
1 Re 0.000 0.000 0.500
2 Re 0.500 0.000 0.000
3 Mg 0.000 0.500 0.000
4 Mn 0.000 0.000 0.000
5 Cu 0.500 0.500 0.500

Calculated values
Total energy in eV/atom: -6.551
ΔH_f (0 K) in kJ/mol of atoms: 135

***

(3)
Compound: MgMnCuRu
Source: Alexandria
Functional: GGA-PBE
Structure: relaxed

abc: 4.311 4.311 4.311
angles: 60.00 60.00 60.00
Site moments in Bohr magnetons follow the coordinates.
Fractional positions:
1 Ru 0.000 0.000 0.000  0.27
2 Mg 0.250 0.250 0.250  0.00
3 Mn 0.750 0.750 0.750  3.38
4 Cu 0.500 0.500 0.500  0.12

Calculated values
Total energy in eV/atom: -5.943
ΔH_f (0 K) in kJ/mol of atoms: 9

***

(4)
Compound: MgCuMo3
Source: Alexandria
Functional: GGA-PBE
Structure: relaxed

abc: 4.563 4.563 4.563
angles: 90.00 90.00 90.00
Fractional positions:
1 Mo 0.000 0.500 0.000
2 Mo 0.000 0.000 0.500
3 Mo 0.500 0.000 0.000
4 Mg 0.500 0.500 0.500
5 Cu 0.000 0.000 0.000

Calculated values
Total energy in eV/atom: -6.172
ΔH_f (0 K) in kJ/mol of atoms: 141
Energy above the lowest structure with this stoichiometry in eV/atom: 0.000

***

(5)
Compound: MgCuMo2
Source: Alexandria
Functional: GGA-PBE
Structure: relaxed

abc: 4.760 4.760 4.760
angles: 130.19 130.19 73.10
Fractional positions:
1 Cu 0.500 0.500 0.000
2 Mg 0.750 0.250 0.500
3 Mo 0.000 0.000 0.000
4 Mo 0.250 0.750 0.500

Calculated values
Total energy in eV/atom: -6.489
ΔH_f (0 K) in kJ/mol of atoms: 34
Energy above the lowest structure with this stoichiometry in eV/atom: 0.187

***

(6)
Compound: MgCuMo4
Source: Alexandria
Functional: GGA-PBE
Structure: relaxed

abc: 5.250 5.250 5.250
angles: 60.00 60.00 60.00
Fractional positions:
1 Mg 0.000 0.000 0.000
2 Cu 0.750 0.750 0.750
3 Mo 0.874 0.375 0.375
4 Mo 0.375 0.375 0.874
5 Mo 0.375 0.874 0.375
6 Mo 0.375 0.375 0.375

Calculated values
Total energy in eV/atom: -7.641
ΔH_f (0 K) in kJ/mol of atoms: 51

***

(7)
Compound: MgCu2Mo
Source: Alexandria
Functional: GGA-PBE
Structure: relaxed

abc: 4.565 4.565 5.249
angles: 83.86 83.86 33.80
Fractional positions:
1 Cu 0.998 0.998 0.025
2 Cu 0.502 0.502 0.475
3 Mg 0.750 0.750 0.750
4 Mo 0.250 0.250 0.250

Calculated values
Total energy in eV/atom: -4.833
ΔH_f (0 K) in kJ/mol of atoms: 31
Energy above the lowest structure with this stoichiometry in eV/atom: 0.206

***

(8)
Compound: MgCu2Mo
Source: Alexandria
Functional: GGA-PBE
Structure: relaxed

abc: 4.619 4.619 2.721
angles: 90.00 90.00 90.00
Site moments in Bohr magnetons follow the coordinates.
Fractional positions:
1 Cu 0.000 0.000 0.000  0.02
2 Cu 0.500 0.500 0.000  0.02
3 Mg 0.500 0.000 0.500  0.00
4 Mo 0.000 0.500 0.500  0.30

Calculated values
Total energy in eV/atom: -4.931
ΔH_f (0 K) in kJ/mol of atoms: 22
Energy above the lowest structure with this stoichiometry in eV/atom: 0.108

***

(9)
Compound: MgCu2Mo
Source: Alexandria
Functional: GGA-PBE
Structure: relaxed

abc: 5.096 5.096 4.727
angles: 72.11 72.11 29.99
Site moments in Bohr magnetons follow the coordinates.
Fractional positions:
1 Cu 0.017 0.017 0.048  0.01
2 Cu 0.729 0.729 0.708  0.01
3 Mg 0.486 0.486 0.559  0.00
4 Mo 0.268 0.268 0.186  0.18

Calculated values
Total energy in eV/atom: -4.930
ΔH_f (0 K) in kJ/mol of atoms: 22
Energy above the lowest structure with this stoichiometry in eV/atom: 0.109

***

(10)
Compound: MgCuMo3
Source: Alexandria
Functional: GGA-PBE
Structure: relaxed

abc: 4.545 4.545 4.545
angles: 90.00 90.00 90.00
Fractional positions:
1 Mo 0.000 0.500 0.000
2 Mo 0.000 0.000 0.500
3 Mo 0.500 0.000 0.000
4 Mg 0.000 0.000 0.000
5 Cu 0.500 0.500 0.500

Calculated values
Total energy in eV/atom: -5.343
ΔH_f (0 K) in kJ/mol of atoms: 221
Energy above the lowest structure with this stoichiometry in eV/atom: 0.828

***

(11)
Compound: MgCuMo2
Source: Alexandria
Functional: GGA-PBE
Structure: relaxed

abc: 2.667 2.667 8.808
angles: 90.00 90.00 98.39
Fractional positions:
1 Cu 0.500 0.500 0.250
2 Mg 0.500 0.500 0.750
3 Mo 0.000 0.000 0.017
4 Mo 0.000 0.000 0.483

Calculated values
Total energy in eV/atom: -6.524
ΔH_f (0 K) in kJ/mol of atoms: 30
Energy above the lowest structure with this stoichiometry in eV/atom: 0.153

***

(12)
Compound: MgCu2Mo
Source: Alexandria
Functional: GGA-PBE
Structure: relaxed

abc: 6.847 6.847 5.544
angles: 51.86 51.86 90.00
Fractional positions:
1 Mo 0.000 0.000 0.000
2 Mo 0.750 0.250 0.500
3 Mg 0.500 0.500 0.000
4 Mg 0.250 0.750 0.500
5 Cu 0.628 0.125 0.250
6 Cu 0.122 0.625 0.250
7 Cu 0.375 0.372 0.750
8 Cu 0.875 0.878 0.750

Calculated values
Total energy in eV/atom: -4.426
ΔH_f (0 K) in kJ/mol of atoms: 70
Energy above the lowest structure with this stoichiometry in eV/atom: 0.613